(1)
Here is a relaxed structure of BaTaSiP2 from the Alexandria database. Energies are from PBE.

Its total energy is -3.713 eV per atom. For the uncorrected formation energy, the calculation gives 2.291 eV per atom.

It has space group P4/mmm (No. 123), with a = 5.3212 Å, b = 5.3212 Å, c = 5.3438 Å, α = 90.00°, β = 90.00° and γ = 90.00°. The distinct sites, in fractional coordinates, are Ba at (0.0000, 0.0000, 0.0000), Ta at (0.5000, 0.5000, 0.5000), Si at (0.0000, 0.0000, 0.5000) and P at (0.0000, 0.5000, 0.0000).

***

(2)
Here is a relaxed structure of BaSmP from the Alexandria database. Energies are from PBE.

Its total energy is -4.610 eV per atom.

It has space group Amm2 (No. 38), with a = 14.7677 Å, b = 4.2195 Å, c = 7.3064 Å, α = 90.00°, β = 90.00° and γ = 90.00°. The distinct sites, in fractional coordinates, are Ba at (0.1280, 0.0000, 0.0000), Sm at (0.3887, 0.0000, 0.6640), P at (0.0000, 0.0000, 0.6667) and P at (0.5000, 0.0000, 0.9973).

***

(3)
Here is a relaxed structure of BaSmP2 from the Alexandria database. Energies are from PBE.

Its total energy is -5.441 eV per atom.

It has space group R-3m (No. 166, hexagonal axes), with a = 4.3030 Å, b = 4.3030 Å, c = 21.9957 Å, α = 90.00°, β = 90.00° and γ = 120.00°. The distinct sites, in fractional coordinates, are Ba at (0.0000, 0.0000, 0.0000), Sm at (0.0000, 0.0000, 0.5000) and P at (0.0000, 0.0000, 0.2371).

***

(4)
Here is a relaxed structure of Ba2Sn2P from the Alexandria database. Energies are from PBE.

Its total energy is -3.849 eV per atom.

It has space group P4/mbm (No. 127), with a = 7.9476 Å, b = 7.9476 Å, c = 5.3467 Å, α = 90.00°, β = 90.00° and γ = 90.00°. The distinct sites, in fractional coordinates, are Ba at (0.1728, 0.3272, 0.0000), Sn at (0.1345, 0.6345, 0.5000) and P at (0.0000, 0.0000, 0.5000).

***

(5)
Here is a relaxed structure of BaSnP3 from the Alexandria database. Energies are from PBE.

Its total energy is -4.272 eV per atom. As for the energy above the most stable polymorph in this dataset: 0.00 eV/f.u.

It has space group Pm-3m (No. 221), with a = 5.1553 Å, b = 5.1553 Å, c = 5.1553 Å, α = 90.00°, β = 90.00° and γ = 90.00°. The distinct sites, in fractional coordinates, are Ba at (0.0000, 0.0000, 0.0000), Sn at (0.5000, 0.5000, 0.5000) and P at (0.0000, 0.5000, 0.5000).

***

(6)
Here is a relaxed structure of Ba2SnP from the Alexandria database. Energies are from PBE.

Its total energy is -3.765 eV per atom. As for the energy above the most stable polymorph in this dataset: 0.00 eV/f.u.

It has space group Fm-3m (No. 225), with a = 8.2196 Å, b = 8.2196 Å, c = 8.2196 Å, α = 90.00°, β = 90.00° and γ = 90.00°. The distinct sites, in fractional coordinates, are Ba at (0.2500, 0.2500, 0.2500), Sn at (0.0000, 0.0000, 0.0000) and P at (0.0000, 0.0000, 0.5000).

***

(7)
Here is a relaxed structure of Ba2SnP2 from the Alexandria database. Energies are from PBE.

Its total energy is -4.372 eV per atom.

It has space group P4/mbm (No. 127), with a = 8.1352 Å, b = 8.1352 Å, c = 4.5116 Å, α = 90.00°, β = 90.00° and γ = 90.00°. The distinct sites, in fractional coordinates, are Ba at (0.1482, 0.3518, 0.0000), Sn at (0.0000, 0.0000, 0.5000) and P at (0.1639, 0.6639, 0.5000).

***

(8)
Here is a relaxed structure of Ba4SnP from the Alexandria database. Energies are from PBE.

Its total energy is -3.500 eV per atom.

It has space group C2/c (No. 15), with a = 10.4700 Å, b = 16.9808 Å, c = 8.0826 Å, α = 90.00°, β = 126.75° and γ = 90.00°. The distinct sites, in fractional coordinates, are Ba at (0.1398, 0.2037, 0.1403), Ba at (0.2412, 0.4650, 0.2675), Sn at (0.0000, 0.3671, 0.7500) and P at (0.0000, 0.0629, 0.2500).

***

(9)
Here is a relaxed structure of BaSnP3 from the Alexandria database. Energies are from PBE.

Its total energy is -3.143 eV per atom. As for the energy above the most stable polymorph in this dataset: 5.64 eV/f.u.

It has space group Pm-3m (No. 221), with a = 5.5684 Å, b = 5.5684 Å, c = 5.5684 Å, α = 90.00°, β = 90.00° and γ = 90.00°. The distinct sites, in fractional coordinates, are Ba at (0.0000, 0.0000, 0.0000), Sn at (0.5000, 0.5000, 0.5000) and P at (0.0000, 0.0000, 0.5000).

***

(10)
Here is a relaxed structure of BaSn2P2 from the Alexandria database. Energies are from PBE.

Its total energy is -4.355 eV per atom.

It has space group P4/mbm (No. 127), with a = 7.9993 Å, b = 7.9993 Å, c = 4.5549 Å, α = 90.00°, β = 90.00° and γ = 90.00°. The distinct sites, in fractional coordinates, are Ba at (0.0000, 0.0000, 0.0000), Sn at (0.1303, 0.3697, 0.5000) and P at (0.0984, 0.5984, 0.0000).

***

(11)
Here is a relaxed structure of BaSn2P2 from the Alexandria database. Energies are from PBE.

Its total energy is -4.490 eV per atom.

It has space group I4/mmm (No. 139), with a = 5.1983 Å, b = 5.1983 Å, c = 10.2855 Å, α = 90.00°, β = 90.00° and γ = 90.00°. The distinct sites, in fractional coordinates, are Ba at (0.0000, 0.0000, 0.0000), Sn at (0.0000, 0.0000, 0.3400) and P at (0.0000, 0.5000, 0.2500).

***

(12)
Here is a relaxed structure of Ba2SnP from the Alexandria database. Energies are from PBE.

Its total energy is -3.733 eV per atom. As for the energy above the most stable polymorph in this dataset: 0.13 eV/f.u.

It has space group I-42d (No. 122), with a = 9.1555 Å, b = 9.1555 Å, c = 7.0983 Å, α = 90.00°, β = 90.00° and γ = 90.00°. The distinct sites, in fractional coordinates, are Ba at (0.2027, 0.2500, 0.1250), Sn at (0.0000, 0.0000, 0.5000) and P at (0.0000, 0.0000, 0.0000).

***

(13)
Here is a relaxed structure of Ba8Sn2P from the Alexandria database. Energies are from PBE.

Its total energy is -3.088 eV per atom.

It has space group C2/m (No. 12), with a = 22.4558 Å, b = 5.7061 Å, c = 7.8429 Å, α = 90.00°, β = 104.51° and γ = 90.00°. The distinct sites, in fractional coordinates, are Ba at (0.0291, 0.0000, 0.3033), Ba at (0.0906, 0.5000, 0.9114), Ba at (0.1510, 0.5000, 0.4645), Ba at (0.2209, 0.0000, 0.8019), Sn at (0.1828, 0.0000, 0.2253) and P at (0.0000, 0.5000, 0.5000).

***

(14)
Here is a relaxed structure of BaSn2P2 from the Alexandria database. Energies are from PBE.

Its total energy is -4.513 eV per atom.

It has space group I4/mmm (No. 139), with a = 4.4945 Å, b = 4.4945 Å, c = 13.4020 Å, α = 90.00°, β = 90.00° and γ = 90.00°. The distinct sites, in fractional coordinates, are Ba at (0.0000, 0.0000, 0.0000), Sn at (0.0000, 0.5000, 0.2500) and P at (0.0000, 0.0000, 0.4201).

***

(15)
Here is a relaxed structure of BaSn3P from the Alexandria database. Energies are from PBE.

Its total energy is -2.377 eV per atom. As for the energy above the most stable polymorph in this dataset: 7.62 eV/f.u.

It has space group Pm-3m (No. 221), with a = 6.2543 Å, b = 6.2543 Å, c = 6.2543 Å, α = 90.00°, β = 90.00° and γ = 90.00°. The distinct sites, in fractional coordinates, are Ba at (0.0000, 0.0000, 0.0000), Sn at (0.0000, 0.0000, 0.5000) and P at (0.5000, 0.5000, 0.5000).

***

(16)
Here is a relaxed structure of Ba3SnP from the Alexandria database. Energies are from PBE.

Its total energy is -3.639 eV per atom. As for the energy above the most stable polymorph in this dataset: 0.00 eV/f.u.

It has space group Pm-3m (No. 221), with a = 6.1642 Å, b = 6.1642 Å, c = 6.1642 Å, α = 90.00°, β = 90.00° and γ = 90.00°. The distinct sites, in fractional coordinates, are Ba at (0.0000, 0.0000, 0.5000), Sn at (0.5000, 0.5000, 0.5000) and P at (0.0000, 0.0000, 0.0000).

***

(17)
Here is a relaxed structure of Ba2SnP from the Alexandria database. Energies are from PBE.

Its total energy is -3.723 eV per atom. As for the energy above the most stable polymorph in this dataset: 0.17 eV/f.u.

It has space group R-3m (No. 166, hexagonal axes), with a = 4.5039 Å, b = 4.5039 Å, c = 32.2104 Å, α = 90.00°, β = 90.00° and γ = 120.00°. The distinct sites, in fractional coordinates, are Ba at (0.0000, 0.0000, 0.1123), Sn at (0.0000, 0.0000, 0.0000) and P at (0.0000, 0.0000, 0.5000).

***

(18)
Here is a relaxed structure of BaSn3P from the Alexandria database. Energies are from PBE.

Its total energy is -3.902 eV per atom. As for the energy above the most stable polymorph in this dataset: 0.00 eV/f.u.

It has space group Pm-3m (No. 221), with a = 5.4109 Å, b = 5.4109 Å, c = 5.4109 Å, α = 90.00°, β = 90.00° and γ = 90.00°. The distinct sites, in fractional coordinates, are Ba at (0.0000, 0.0000, 0.0000), Sn at (0.0000, 0.5000, 0.5000) and P at (0.5000, 0.5000, 0.5000).

***

(19)
Here is a relaxed structure of Ba4SnP4 from the Alexandria database. Energies are from PBE.

Its total energy is -4.579 eV per atom.

It has space group P4_2/nmc (No. 137, origin choice 2), with a = 9.3209 Å, b = 9.3209 Å, c = 6.9905 Å, α = 90.00°, β = 90.00° and γ = 90.00°. The distinct sites, in fractional coordinates, are Ba at (0.0205, 0.2500, 0.0793), Sn at (0.2500, 0.7500, 0.2500) and P at (0.0232, 0.7500, 0.4581).

***

(20)
Here is a relaxed structure of Ba2SrSnP from the Alexandria database. Energies are from PBE.

Its total energy is -3.618 eV per atom.

It has space group P4/mmm (No. 123), with a = 6.1849 Å, b = 6.1849 Å, c = 5.7667 Å, α = 90.00°, β = 90.00° and γ = 90.00°. The distinct sites, in fractional coordinates, are Ba at (0.0000, 0.5000, 0.0000), Sr at (0.0000, 0.0000, 0.5000), Sn at (0.5000, 0.5000, 0.5000) and P at (0.0000, 0.0000, 0.0000).